Here is Sc2HgMo after structural relaxation from Alexandria via LeMat-Bulk. Energies are from PBE.

abc: 9.1278 9.1278 9.1278
angles: 20.82 20.82 20.82
With the nearest neighbours (Å) after each atom.
Fractional positions:
Sc (0.2414, 0.2414, 0.2414)  3 Mo 2.76
Sc (0.7586, 0.7586, 0.7586)  3 Mo 2.76
Hg (0.0000, 0.0000, 0.0000)  6 Sc 3.11, 6 Hg 3.30
Mo (0.5000, 0.5000, 0.5000)  6 Sc 2.76

DOS(E_F) in states/eV per atom: 1.31
Calculated density in Mg/m³: 7.63
Formation enthalpy at 0 K in eV per atom: 0.06
Total magnetic moment in μB per atom: 0.000
Energy in eV per atom: -5.886

***

Here is Ac2Tb2Sn7 after structural relaxation from Alexandria via LeMat-Bulk. Energies are from PBE.

abc: 7.9894 7.9894 6.1076
angles: 90.00 90.00 96.34
With the nearest neighbours (Å) after each atom.
Fractional positions:
Ac (0.1967, 0.1967, 0.0000)  8 Sn 3.37-3.70
Ac (0.8033, 0.8033, 0.0000)  8 Sn 3.37-3.70
Tb (0.2585, 0.7415, 0.5000)  7 Sn 3.08-3.26
Tb (0.7415, 0.2585, 0.5000)  7 Sn 3.08-3.26
Sn (0.0000, 0.0000, 0.5000)  2 Tb 3.08
Sn (0.0000, 0.5000, 0.2432)  2 Sn 2.97-3.14, 2 Tb 3.09
Sn (0.0000, 0.5000, 0.7568)  2 Sn 2.97-3.14, 2 Tb 3.09
Sn (0.5000, 0.0000, 0.2432)  2 Sn 2.97-3.14, 2 Tb 3.09
Sn (0.5000, 0.0000, 0.7568)  2 Sn 2.97-3.14, 2 Tb 3.09
Sn (0.5000, 0.5000, 0.2480)  2 Sn 3.03-3.08, 2 Tb 3.26
Sn (0.5000, 0.5000, 0.7520)  2 Sn 3.03-3.08, 2 Tb 3.26

DOS(E_F) in states/eV per atom: 0.93
Calculated density in Mg/m³: 6.87
Formation enthalpy at 0 K in eV per atom: -0.21
Total magnetic moment in μB per atom: 0.000
Energy in eV per atom: -4.344